# Sm2GdRh

Crystalline Sm2GdRh at its relaxed geometry (PBE, Alexandria via LeMat-Bulk).

a = 3.5875 Å, b = 3.5875 Å, c = 8.6672 Å
α = 90.00°, β = 90.00°, γ = 90.00°
Space group P4/mmm (No. 123)
Unique sites:
Sm (0.0000, 0.0000, 0.1895) [2 per cell]
Gd (0.5000, 0.5000, 0.5000) [1 per cell]
Rh (0.5000, 0.5000, 0.0000) [1 per cell]

Formation energy, eV per formula unit: -1.29
ΔE to the lowest computed polymorph, meV/atom: 0

# KAlMo2

Crystalline KAlMo2 at its relaxed geometry (PBE, Alexandria via LeMat-Bulk).

a = 2.8810 Å, b = 2.8810 Å, c = 32.1752 Å
α = 90.00°, β = 90.00°, γ = 120.00°
Space group R3m (No. 160, hexagonal axes)
Unique sites:
K (0.0000, 0.0000, 0.0000) [3 per cell]
Al (0.0000, 0.0000, 0.2365) [3 per cell]
Mo (0.0000, 0.0000, 0.5016) [3 per cell]
Mo (0.0000, 0.0000, 0.7632) [3 per cell]

Formation energy, eV per formula unit: 2.68

# Mn2AlCdPt

Crystalline Mn2AlCdPt at its relaxed geometry (PBE, Alexandria via LeMat-Bulk).

a = 4.6175 Å, b = 4.6175 Å, c = 4.5656 Å
α = 90.00°, β = 90.00°, γ = 90.00°
Space group P4/mmm (No. 123)
Unique sites:
Mn (0.0000, 0.5000, 0.0000) [2 per cell]
Al (0.0000, 0.0000, 0.0000) [1 per cell]
Cd (0.5000, 0.5000, 0.5000) [1 per cell]
Pt (0.0000, 0.0000, 0.5000) [1 per cell]

Formation energy, eV per formula unit: 2.74

# SiAs2Ru

Crystalline SiAs2Ru at its relaxed geometry (PBE, Alexandria via LeMat-Bulk).

a = 3.4258 Å, b = 4.6570 Å, c = 4.2196 Å
α = 90.00°, β = 97.96°, γ = 90.00°
Space group P2/m (No. 10)
Unique sites:
Si (0.0000, 0.0000, 0.0000) [1 per cell]
As (0.2787, 0.5000, 0.7147) [2 per cell]
Ru (0.5000, 0.0000, 0.5000) [1 per cell]

Energy relative to the elements, uncorrected, eV/atom: 0.23

# AsPS2

Crystalline AsPS2 at its relaxed geometry (PBE, Alexandria via LeMat-Bulk).

a = 3.3602 Å, b = 3.3602 Å, c = 23.8139 Å
α = 90.00°, β = 90.00°, γ = 120.00°
Space group R-3m (No. 166, hexagonal axes)
Unique sites:
As (0.0000, 0.0000, 0.0000) [3 per cell]
P (0.0000, 0.0000, 0.5000) [3 per cell]
S (0.0000, 0.0000, 0.1060) [6 per cell]

ΔE to the lowest computed polymorph, meV/atom: 290
Energy relative to the elements, uncorrected, eV/atom: 0.27

# Gd2ErTl

Crystalline Gd2ErTl at its relaxed geometry (PBE, Alexandria via LeMat-Bulk).

a = 3.5331 Å, b = 3.5331 Å, c = 36.2255 Å
α = 90.00°, β = 90.00°, γ = 120.00°
Space group R-3m (No. 166, hexagonal axes)
Unique sites:
Gd (0.0000, 0.0000, 0.0891) [6 per cell]
Er (0.0000, 0.0000, 0.5000) [3 per cell]
Tl (0.0000, 0.0000, 0.0000) [3 per cell]

Formation energy, eV per formula unit: 0.31
ΔE to the lowest computed polymorph, meV/atom: 290

# MoAsAu2

Crystalline MoAsAu2 at its relaxed geometry (PBE, Alexandria via LeMat-Bulk).

a = 3.0133 Å, b = 3.0133 Å, c = 27.1416 Å
α = 90.00°, β = 90.00°, γ = 120.00°
Space group R3m (No. 160, hexagonal axes)
Unique sites:
Mo (0.0000, 0.0000, 0.0000) [3 per cell]
As (0.0000, 0.0000, 0.7350) [3 per cell]
Au (0.0000, 0.0000, 0.2498) [3 per cell]
Au (0.0000, 0.0000, 0.4954) [3 per cell]

Formation energy, eV per formula unit: 0.60

# Ca2FeNi

Crystalline Ca2FeNi at its relaxed geometry (PBE, Alexandria via LeMat-Bulk).

a = 4.1582 Å, b = 4.1582 Å, c = 9.7349 Å
α = 90.00°, β = 90.00°, γ = 90.00°
Space group I-4m2 (No. 119)
Unique sites:
Ca (0.0000, 0.0000, 0.0000) [2 per cell]
Ca (0.0000, 0.5000, 0.2500) [2 per cell]
Fe (0.0000, 0.5000, 0.7500) [2 per cell]
Ni (0.0000, 0.0000, 0.5000) [2 per cell]

Formation energy, eV per formula unit: 1.96
ΔE to the lowest computed polymorph, meV/atom: 357

# Ac5RhSe4

Crystalline Ac5RhSe4 at its relaxed geometry (PBE, Alexandria via LeMat-Bulk).

a = 4.4620 Å, b = 4.4620 Å, c = 31.4250 Å
α = 90.00°, β = 90.00°, γ = 90.00°
Space group I4/mmm (No. 139)
Unique sites:
Ac (0.0000, 0.0000, 0.0000) [2 per cell]
Ac (0.0000, 0.0000, 0.2031) [4 per cell]
Ac (0.0000, 0.0000, 0.4065) [4 per cell]
Rh (0.0000, 0.0000, 0.5000) [2 per cell]
Se (0.0000, 0.0000, 0.1024) [4 per cell]
Se (0.0000, 0.0000, 0.3047) [4 per cell]

Energy relative to the elements, uncorrected, eV/atom: -1.62

# ReTcBr2

Crystalline ReTcBr2 at its relaxed geometry (PBE, Alexandria via LeMat-Bulk).

a = 3.0810 Å, b = 3.0810 Å, c = 29.0193 Å
α = 90.00°, β = 90.00°, γ = 120.00°
Space group R3m (No. 160, hexagonal axes)
Unique sites:
Re (0.0000, 0.0000, 0.0000) [3 per cell]
Tc (0.0000, 0.0000, 0.7336) [3 per cell]
Br (0.0000, 0.0000, 0.2622) [3 per cell]
Br (0.0000, 0.0000, 0.4706) [3 per cell]

ΔE to the lowest computed polymorph, meV/atom: 254
Energy relative to the elements, uncorrected, eV/atom: 0.45

# Sc3NiAg

Crystalline Sc3NiAg at its relaxed geometry (PBE, Alexandria via LeMat-Bulk).

a = 9.1006 Å, b = 13.7618 Å, c = 3.4614 Å
α = 90.00°, β = 90.00°, γ = 90.00°
Space group Cmmm (No. 65)
Unique sites:
Sc (0.0000, 0.1762, 0.0000) [4 per cell]
Sc (0.1953, 0.3803, 0.5000) [8 per cell]
Ni (0.2500, 0.2500, 0.0000) [4 per cell]
Ag (0.0000, 0.0000, 0.5000) [2 per cell]
Ag (0.0000, 0.5000, 0.0000) [2 per cell]

Formation energy, eV per formula unit: -0.65
ΔE to the lowest computed polymorph, meV/atom: 126

# LiTl2PdF6

Crystalline LiTl2PdF6 at its relaxed geometry (PBE, Alexandria via LeMat-Bulk).

a = 6.0235 Å, b = 6.0235 Å, c = 5.2823 Å
α = 90.00°, β = 90.00°, γ = 120.00°
Space group P-3m1 (No. 164)
Unique sites:
Li (0.0000, 0.0000, 0.0000) [1 per cell]
Tl (0.3333, 0.6667, 0.7833) [2 per cell]
Pd (0.0000, 0.0000, 0.5000) [1 per cell]
F (0.1519, 0.3039, 0.2498) [6 per cell]

Energy relative to the elements, uncorrected, eV/atom: -1.81